[1]
Below is a relaxed structure of Cs8In2O7, with properties calculated at the PBE level.

a = 7.552 Å, b = 19.177 Å, c = 7.399 Å
α = 90.00°, β = 118.71°, γ = 90.00°
Space group P2_1/c (No. 14)
Inequivalent atoms, fractional coordinates:
Cs1 0.142 0.085 0.495 [4 per cell]
Cs2 0.264 0.705 0.545 [4 per cell]
Cs3 0.267 0.504 0.536 [4 per cell]
Cs4 0.284 0.192 0.050 [4 per cell]
In1 0.354 0.598 0.000 [4 per cell]
O1 0.071 0.598 0.734 [4 per cell]
O2 0.344 0.606 0.279 [4 per cell]
O3 0.458 0.178 0.511 [4 per cell]
O4 0.500 0.000 0.500 [2 per cell]

Summary:
* E_form (uncorrected): -21.8 eV per formula unit



[2]
Below is a relaxed structure of AlSnIr2F, with properties calculated at the PBE level.

a = 4.881 Å, b = 4.881 Å, c = 3.355 Å
α = 90.00°, β = 90.00°, γ = 90.00°
Space group P4/mmm (No. 123)
Inequivalent atoms, fractional coordinates:
Al1 0.000 0.000 0.000 [1 per cell]
Sn1 0.500 0.500 0.000 [1 per cell]
Ir1 0.000 0.500 0.500 [2 per cell]
F1 0.000 0.000 0.500 [1 per cell]

Summary:
* E_form (uncorrected): 1.0 eV per formula unit



[3]
Below is a relaxed structure of TmPuAlOs, with properties calculated at the PBE level.

a = 6.909 Å, b = 6.909 Å, c = 6.909 Å
α = 90.00°, β = 90.00°, γ = 90.00°
Space group F-43m (No. 216)
Inequivalent atoms, fractional coordinates:
Tm1 0.000 0.000 0.000 [4 per cell]
Pu1 0.000 0.000 0.500 [4 per cell]
Al1 0.250 0.250 0.750 [4 per cell]
Os1 0.250 0.250 0.250 [4 per cell]

Summary:
* ΔE_f: -155 meV/atom



[4]
Below is a relaxed structure of SrMg2Tl3, with properties calculated at the PBE level.

a = 5.0671 Å, b = 5.0671 Å, c = 15.6042 Å
α = 90.00°, β = 90.00°, γ = 120.00°
Space group P6_3/mmc (No. 194)
Inequivalent atoms, fractional coordinates:
Sr1 0.0000 0.0000 0.2500 [2 per cell]
Mg1 0.3333 0.6667 0.0773 [4 per cell]
Tl1 0.0000 0.0000 0.0000 [2 per cell]
Tl2 0.3333 0.6667 0.6344 [4 per cell]

Summary:
* ΔE_f: -175 meV/atom



| no. | N(E_F) (states/eV/cell) | size of the total moment (μB per cell) |
| --- | --- | --- |
| 1 | 0.00 | 0.3 |
| 2 | 2.40 | 0.0 |
| 3 | 24.40 | 19.5 |
| 4 | 6.11 | 0.0 |